The following is a DFT calculation (PBE) of crystalline Ba2TmNpSe6 at its relaxed geometry.

```
20
Lattice="7.422 0.000 0.000 0.000 7.799 0.000 -7.408 0.000 10.750" Properties=species:S:1:pos:R:3 pbc="T T T"
Ba -0.149 0.552 2.678
Ba -3.853 3.348 8.053
Ba 3.867 4.451 2.697
Ba 0.163 7.247 8.072
Tm -3.704 0.000 5.375
Tm 0.000 3.899 0.000
Np 3.711 0.000 0.000
Np 0.007 3.899 5.375
Se -5.916 1.546 10.283
Se -2.212 2.353 4.908
Se -5.142 5.490 10.279
Se -1.438 6.208 4.905
Se -3.080 0.113 8.091
Se 0.624 3.786 2.716
Se -0.610 4.012 8.034
Se 3.094 7.686 2.659
Se 1.452 1.591 5.845
Se 5.156 2.309 0.470
Se 2.226 5.445 5.841
Se 5.930 6.253 0.467
```

## Properties
ΔE_f (raw) in meV/atom: -1631
E_tot in eV per atom: -5.848
Theoretical density in g cm⁻³: 6.161
Space group: P2_1/c (14)

The following is a DFT calculation (PBE) of crystalline BaNpUSe6 at its relaxed geometry.

```
18
Lattice="7.233 0.000 0.000 -3.617 6.264 0.000 0.000 0.000 13.751" Properties=species:S:1:pos:R:3 pbc="T T T"
Ba 0.000 0.000 0.000
Ba 0.000 0.000 6.875
Np 0.000 4.176 3.438
Np 3.617 2.088 10.313
U 0.000 4.176 10.313
U 3.617 2.088 3.438
Se -1.336 2.403 8.744
Se -2.204 3.906 11.882
Se 1.336 2.403 11.882
Se -0.868 6.220 8.744
Se 2.749 0.045 1.869
Se 1.413 2.358 5.007
Se 2.204 3.906 8.744
Se 0.868 6.220 11.882
Se 4.484 0.045 5.007
Se 2.281 3.861 1.869
Se 5.820 2.358 1.869
Se 4.953 3.861 5.007
```

## Properties
ΔE_f (raw) in meV/atom: -1189
E_tot in eV per atom: -6.417
Theoretical density in g cm⁻³: 5.789
Space group: P-31c (163)

The following is a DFT calculation (PBE) of crystalline Ba2NpUSe6 at its relaxed geometry.

```
20
Lattice="7.494 0.000 0.000 0.000 7.882 0.000 -7.475 0.000 10.845" Properties=species:S:1:pos:R:3 pbc="T T T"
Ba -0.153 0.555 2.711
Ba -3.891 3.386 8.134
Ba 3.910 4.496 2.712
Ba 0.172 7.327 8.135
Np 3.747 0.000 0.000
Np 0.009 3.941 5.423
U -3.738 0.000 5.423
U 0.000 3.941 0.000
Se -6.006 1.611 10.328
Se -2.269 2.330 4.905
Se -5.234 5.508 10.343
Se -1.497 6.314 4.920
Se -3.063 0.156 8.105
Se 0.674 3.785 2.682
Se -0.656 4.097 8.163
Se 3.082 7.726 2.740
Se 1.516 1.568 5.925
Se 5.253 2.373 0.503
Se 2.287 5.552 5.940
Se 6.025 6.271 0.517
```

## Properties
ΔE_f (raw) in meV/atom: -1528
E_tot in eV per atom: -6.426
Theoretical density in g cm⁻³: 6.343
Space group: P2_1/c (14)

The following is a DFT calculation (PBE) of crystalline Ba2ZrNpSe6 at its relaxed geometry.

```
20
Lattice="7.560 0.000 0.000 0.000 10.774 0.000 0.000 0.000 7.687" Properties=species:S:1:pos:R:3 pbc="T T T"
Ba 1.890 0.199 1.696
Ba 1.890 5.188 1.696
Ba 5.670 5.586 5.990
Ba 5.670 10.575 5.990
Zr 1.890 8.080 5.811
Zr 5.670 2.693 1.876
Np 1.890 2.693 5.673
Np 5.670 8.080 2.014
Se 0.031 2.693 3.673
Se 0.051 8.080 0.071
Se 1.890 5.423 5.868
Se 1.890 10.737 5.868
Se 3.729 8.080 0.071
Se 3.749 2.693 3.673
Se 3.811 8.080 4.014
Se 3.831 2.693 7.616
Se 5.670 0.037 1.819
Se 5.670 5.350 1.819
Se 7.509 2.693 7.616
Se 7.529 8.080 4.014
```

## Properties
ΔE_f (raw) in meV/atom: -1484
E_tot in eV per atom: -6.108
Theoretical density in g cm⁻³: 5.711
Space group: Pmmn (59)

The following is a DFT calculation (PBE) of crystalline BaNpSn2 at its relaxed geometry.

```
4
Lattice="2.575 1.486 6.275 -2.575 1.486 6.275 0.000 -2.973 6.275" Properties=species:S:1:pos:R:3 pbc="T T T"
Ba 0.000 0.000 0.000
Np 0.000 0.000 9.413
Sn 0.000 0.000 4.177
Sn 0.000 0.000 14.649
```

## Properties
Formation enthalpy at 0 K in kJ/mol of formula units: -3
E_tot in eV per atom: -5.726
Theoretical density in g cm⁻³: 7.050
Space group: R-3m (166)

The following is a DFT calculation (PBE) of crystalline BaSr2Np at its relaxed geometry.

```
4
Lattice="0.000 4.588 4.588 4.588 0.000 4.588 4.588 4.588 0.000" Properties=species:S:1:pos:R:3 pbc="T T T"
Ba 0.000 0.000 0.000
Sr 2.294 2.294 2.294
Sr 4.588 4.588 4.588
Np 6.882 6.882 6.882
```

## Properties
Formation enthalpy at 0 K in kJ/mol of formula units: 270
E_tot in eV per atom: -3.858
Theoretical density in g cm⁻³: 4.724
Space group: F-43m (216)

The following is a DFT calculation (PBE) of crystalline Ba2SrNp at its relaxed geometry.

```
4
Lattice="0.000 4.650 4.650 4.650 0.000 4.650 4.650 4.650 0.000" Properties=species:S:1:pos:R:3 pbc="T T T"
Ba 2.325 2.325 2.325
Ba 6.974 6.974 6.974
Sr 0.000 0.000 0.000
Np 4.650 4.650 4.650
```

## Properties
Formation enthalpy at 0 K in kJ/mol of formula units: 273
E_tot in eV per atom: -3.909
Theoretical density in g cm⁻³: 4.950
Space group: Fm-3m (225)

The following is a DFT calculation (PBE) of crystalline BaNpTe2 at its relaxed geometry.

```
4
Lattice="2.313 1.335 7.867 -2.313 1.335 7.867 0.000 -2.671 7.867" Properties=species:S:1:pos:R:3 pbc="T T T"
Ba 0.000 0.000 0.000
Np 0.000 0.000 11.801
Te 0.000 0.000 5.650
Te 0.000 0.000 17.952
```

## Properties
ΔE_f (raw) in meV/atom: -1097
E_tot in eV per atom: -6.384
Theoretical density in g cm⁻³: 7.171
Space group: R-3m (166)

The following is a DFT calculation (PBE) of crystalline Ba2Np2Te5 at its relaxed geometry.

```
9
Lattice="8.023 -2.988 0.000 8.023 2.988 0.000 -5.353 0.000 7.713" Properties=species:S:1:pos:R:3 pbc="T T T"
Ba 0.485 0.000 2.075
Ba 10.208 0.000 5.638
Np 5.239 0.000 1.411
Np 5.454 0.000 6.303
Te -2.496 0.000 7.011
Te 3.356 0.000 3.904
Te 8.023 0.000 0.000
Te 7.337 0.000 3.809
Te 13.189 0.000 0.702
```

## Properties
ΔE_f (raw) in meV/atom: -1079
E_tot in eV per atom: -6.127
Theoretical density in g cm⁻³: 6.226
Space group: C2/m (12)

The following is a DFT calculation (PBE) of crystalline BaNp3Te6 at its relaxed geometry.

```
20
Lattice="13.131 0.000 0.000 0.000 4.543 0.000 -4.612 0.000 12.638" Properties=species:S:1:pos:R:3 pbc="T T T"
Ba -0.177 1.136 4.669
Ba 8.695 3.407 7.969
Np 1.860 1.136 0.494
Np 0.158 3.407 9.175
Np 4.683 3.407 4.670
Np 3.835 1.136 7.968
Np 8.360 1.136 3.462
Np 6.659 3.407 12.143
Te 0.162 3.407 1.841
Te -1.616 1.136 7.987
Te -1.121 3.407 11.939
Te 3.187 1.136 3.288
Te 2.081 3.407 6.578
Te 1.882 1.136 10.279
Te 6.637 3.407 2.358
Te 6.437 1.136 6.059
Te 5.331 3.407 9.349
Te 9.639 1.136 0.698
Te 10.134 3.407 4.650
Te 8.356 1.136 10.797
```

## Properties
ΔE_f (raw) in meV/atom: -796
E_tot in eV per atom: -6.755
Theoretical density in g cm⁻³: 7.110
Space group: P2_1/m (11)

The following is a DFT calculation (PBE) of crystalline Ba2NpTl3Te6 at its relaxed geometry.

```
12
Lattice="4.206 -7.242 0.000 4.206 7.242 0.000 -2.768 0.000 7.946" Properties=species:S:1:pos:R:3 pbc="T T T"
Ba 4.206 4.835 0.000
Ba 4.206 -4.835 0.000
Np 4.206 0.000 0.000
Tl -1.384 0.000 3.973
Tl 2.822 2.377 3.973
Tl 2.822 -2.377 3.973
Te 0.206 2.098 6.165
Te 1.760 0.000 1.838
Te 0.206 -2.098 6.165
Te 5.437 2.098 1.781
Te 3.883 0.000 6.108
Te 5.437 -2.098 1.781
```

## Properties
ΔE_f (raw) in meV/atom: -853
E_tot in eV per atom: -4.414
Theoretical density in g cm⁻³: 6.485
Space group: C2/m (12)

The following is a DFT calculation (PBE) of crystalline Ba4O at its relaxed geometry.

```
5
Lattice="5.898 0.000 0.000 0.000 5.898 0.000 0.000 0.000 5.898" Properties=species:S:1:pos:R:3 pbc="T T T"
Ba 0.000 0.000 0.000
Ba 0.000 2.949 2.949
Ba 2.949 0.000 2.949
Ba 2.949 2.949 0.000
O 2.949 2.949 2.949
```

## Properties
ΔE_f (raw) in meV/atom: -800
E_tot in eV per atom: -3.330
Theoretical density in g cm⁻³: 4.575
Space group: Pm-3m (221)

The following is a DFT calculation (PBE) of crystalline BaO2 at its relaxed geometry.

```
3
Lattice="1.943 -3.885 0.000 1.943 3.885 0.000 0.000 0.000 3.655" Properties=species:S:1:pos:R:3 pbc="T T T"
Ba 0.000 0.000 0.000
O 1.943 0.762 1.827
O 1.943 -0.762 1.827
```

## Properties
ΔE_f (raw) in meV/atom: -1723
E_tot in eV per atom: -5.669
Theoretical density in g cm⁻³: 5.096
Space group: Cmmm (65)

The following is a DFT calculation (PBE) of crystalline BaO10 at its relaxed geometry.

```
11
Lattice="6.280 0.000 0.000 0.000 6.280 0.000 0.000 0.000 5.554" Properties=species:S:1:pos:R:3 pbc="T T T"
Ba 0.000 0.000 0.000
O 0.000 2.506 1.059
O 0.000 2.506 4.495
O 0.000 3.774 1.059
O 0.000 3.774 4.495
O 2.506 0.000 1.059
O 2.506 0.000 4.495
O 3.140 3.140 0.616
O 3.140 3.140 4.938
O 3.774 0.000 1.059
O 3.774 0.000 4.495
```

## Properties
Energy above the most stable polymorph in this dataset in kJ/mol of atoms: 1.8
ΔE_f (raw) in meV/atom: -424
E_tot in eV per atom: -5.106
Theoretical density in g cm⁻³: 2.254
Space group: P4/mmm (123)

The following is a DFT calculation (PBE) of crystalline BaO10 at its relaxed geometry.

```
22
Lattice="6.191 0.000 0.000 0.000 6.191 0.000 0.000 0.000 9.600" Properties=species:S:1:pos:R:3 pbc="T T T"
Ba 0.000 0.000 2.400
Ba 0.000 0.000 7.200
O 0.427 2.147 0.639
O 0.427 2.147 8.961
O 0.427 4.044 4.161
O 0.427 4.044 5.439
O 2.147 0.427 4.161
O 2.147 0.427 5.439
O 2.147 5.764 0.639
O 2.147 5.764 8.961
O 3.095 3.095 1.780
O 3.095 3.095 3.020
O 3.095 3.095 6.580
O 3.095 3.095 7.820
O 4.044 0.427 0.639
O 4.044 0.427 8.961
O 4.044 5.764 4.161
O 4.044 5.764 5.439
O 5.764 2.147 4.161
O 5.764 2.147 5.439
O 5.764 4.044 0.639
O 5.764 4.044 8.961
```

## Properties
Energy above the most stable polymorph in this dataset in kJ/mol of atoms: 0.0
ΔE_f (raw) in meV/atom: -443
E_tot in eV per atom: -5.125
Theoretical density in g cm⁻³: 2.684
Space group: P4/mcc (124)

The following is a DFT calculation (PBE) of crystalline BaO2 at its relaxed geometry.

```
24
Lattice="7.684 0.000 0.000 0.000 5.817 0.000 0.000 0.000 9.473" Properties=species:S:1:pos:R:3 pbc="T T T"
Ba 0.465 1.454 1.314
Ba 0.857 1.454 5.808
Ba 2.985 4.363 1.072
Ba 3.377 4.363 6.051
Ba 4.307 1.454 3.423
Ba 4.699 1.454 8.401
Ba 6.827 4.363 3.665
Ba 7.219 4.363 8.159
O 0.187 4.363 1.239
O 0.755 4.363 5.819
O 1.787 0.281 8.414
O 1.787 2.628 8.414
O 2.055 3.190 3.678
O 2.055 5.537 3.678
O 3.087 1.454 1.082
O 3.655 1.454 5.976
O 4.029 4.363 3.497
O 4.598 4.363 8.391
O 5.629 0.281 5.795
O 5.629 2.628 5.795
O 5.897 3.190 1.059
O 5.897 5.537 1.059
O 6.929 1.454 3.654
O 7.497 1.454 8.234
```

## Properties
ΔE_f (raw) in meV/atom: -1283
E_tot in eV per atom: -5.230
Theoretical density in g cm⁻³: 5.312
Space group: Pnma (62)

The following is a DFT calculation (PBE) of crystalline BaO5 at its relaxed geometry.

```
6
Lattice="3.890 -2.164 0.000 3.890 2.164 0.000 -3.880 0.000 6.761" Properties=species:S:1:pos:R:3 pbc="T T T"
Ba 0.000 0.000 0.000
O -1.814 0.000 4.555
O -0.553 0.000 4.489
O 2.072 0.000 2.203
O 3.333 0.000 2.268
O 1.347 0.000 6.759
```

## Properties
Energy above the most stable polymorph in this dataset in kJ/mol of atoms: 0.0
ΔE_f (raw) in meV/atom: -751
E_tot in eV per atom: -5.203
Theoretical density in g cm⁻³: 3.170
Space group: Cm (8)

The following is a DFT calculation (PBE) of crystalline BaO2 at its relaxed geometry.

```
24
Lattice="7.992 0.000 0.000 0.000 7.975 0.000 -4.188 0.000 7.039" Properties=species:S:1:pos:R:3 pbc="T T T"
Ba -0.766 1.248 1.291
Ba -2.860 2.740 4.811
Ba 6.665 5.235 2.228
Ba 4.571 6.727 5.747
Ba 0.624 7.971 5.141
Ba 2.718 3.991 1.622
Ba 3.181 0.003 1.898
Ba 1.087 3.984 5.417
O -1.022 5.625 4.939
O 1.072 6.337 1.419
O 1.762 1.648 0.271
O -0.332 2.340 3.791
O -1.629 0.801 6.349
O 0.465 3.186 2.830
O -1.483 4.786 6.104
O 0.610 7.176 2.584
O 3.194 0.798 4.455
O 5.288 3.189 0.935
O 3.340 4.788 4.209
O 5.433 7.174 0.689
O 4.136 5.635 3.248
O 2.043 6.327 6.768
O 2.733 1.637 5.620
O 4.827 2.350 2.100
```

## Properties
ΔE_f (raw) in meV/atom: -1804
E_tot in eV per atom: -5.750
Theoretical density in g cm⁻³: 5.014
Space group: P2_1/c (14)

The following is a DFT calculation (PBE) of crystalline BaO10 at its relaxed geometry.

```
22
Lattice="5.838 0.000 0.000 0.000 5.838 0.000 0.000 0.000 10.282" Properties=species:S:1:pos:R:3 pbc="T T T"
Ba 0.000 0.000 2.571
Ba 0.000 0.000 7.712
O 0.301 2.355 1.033
O 0.301 2.355 9.250
O 0.301 3.482 4.109
O 0.301 3.482 6.174
O 2.355 0.301 4.109
O 2.355 0.301 6.174
O 2.355 5.536 1.033
O 2.355 5.536 9.250
O 2.919 2.919 0.615
O 2.919 2.919 4.526
O 2.919 2.919 5.756
O 2.919 2.919 9.667
O 3.482 0.301 1.033
O 3.482 0.301 9.250
O 3.482 5.536 4.109
O 3.482 5.536 6.174
O 5.536 2.355 4.109
O 5.536 2.355 6.174
O 5.536 3.482 1.033
O 5.536 3.482 9.250
```

## Properties
Energy above the most stable polymorph in this dataset in kJ/mol of atoms: 0.7
ΔE_f (raw) in meV/atom: -435
E_tot in eV per atom: -5.118
Theoretical density in g cm⁻³: 2.818
Space group: P4/mcc (124)